No. 1
## Hf2TlNi (GGA-PBE)

Data for a relaxed structure of Hf2TlNi.

abc: 3.071 3.071 8.183
angles: 90.00 90.00 90.00
Space group P4/mmm (No. 123)
Symmetry-distinct sites (fractional):
Hf (0.000, 0.000, 0.207) (multiplicity 2)
Tl (0.500, 0.500, 0.500) (multiplicity 1)
Ni (0.500, 0.500, 0.000) (multiplicity 1)

- Formation energy from the elements: -0.118 eV per atom
- V: 19.29 Å³ per atom

No. 2
## HfTl2Ni2 (GGA-PBE)

Data for a relaxed structure of HfTl2Ni2.

abc: 6.640 6.640 4.204
angles: 90.00 90.00 90.00
Space group P4/mbm (No. 127)
Symmetry-distinct sites (fractional):
Hf (0.000, 0.000, 0.000) (multiplicity 2)
Tl (0.180, 0.320, 0.500) (multiplicity 4)
Ni (0.126, 0.626, 0.000) (multiplicity 4)

- Formation energy from the elements: 0.140 eV per atom
- V: 18.54 Å³ per atom